[1]
# PBE-GGA Dy2Al3Au, optimized geometry
# Final energy (eV per atom): -4.57
# DFT formation energy (eV per atom): -0.619
data_Dy2Al3Au
_cell_length_a 7.1625
_cell_length_b 9.0551
_cell_length_c 15.7639
_cell_angle_alpha 90.00
_cell_angle_beta 90.00
_cell_angle_gamma 90.00
_space_group_name_H-M_alt 'F m m m'
_space_group_IT_number 69
_space_group_name_Hall '-F 2 2'
loop_
_atom_site_label
_atom_site_type_symbol
_atom_site_fract_x
_atom_site_fract_y
_atom_site_fract_z
Dy1 Dy 0.2474 0.0000 0.0000
Dy2 Dy 0.2500 0.2500 0.2500
Al1 Al 0.0000 0.0000 0.3342
Al2 Al 0.0000 0.2477 0.0831
Au1 Au 0.0000 0.0000 0.1689



[2]
# PBE-GGA HRh3W, optimized geometry
# Polymorph energy (0 for the lowest one) (meV/atom): 0.0
# Final energy (eV per atom): -7.77
data_HRh3W
_cell_length_a 3.9226
_cell_length_b 3.9226
_cell_length_c 3.9226
_cell_angle_alpha 90.00
_cell_angle_beta 90.00
_cell_angle_gamma 90.00
_space_group_name_H-M_alt 'P m -3 m'
_space_group_IT_number 221
_space_group_name_Hall '-P 4 2 3'
loop_
_atom_site_label
_atom_site_type_symbol
_atom_site_fract_x
_atom_site_fract_y
_atom_site_fract_z
H1 H 0.0000 0.0000 0.0000
Rh1 Rh 0.0000 0.0000 0.5000
W1 W 0.5000 0.5000 0.5000